[1]
KNdBeTe3: optimized geometry, GGA-PBE.

Properties
The value obtained for the total energy is -4.175 eV/atom.

Cell lengths 4.3656, 15.9004, 12.0000 Å; angles 90.00, 90.00, 90.00 degrees
Last column: nearest neighbours and their distance in Å.
Space group Cmcm (No. 63)
Asymmetric unit:
K: 0.0000 0.2466 0.2500 [4 per cell]  6 Te 3.57-3.67
Nd: 0.0000 0.5000 0.0000 [4 per cell]  6 Te 3.15
Be: 0.0000 0.0363 0.7500 [4 per cell]  4 Te 2.48-2.68
Te: 0.0000 0.1280 0.5831 [8 per cell]  1 Be 2.48
Te: 0.0000 0.4387 0.7500 [4 per cell]  2 Be 2.68

[2]
KBeNi: optimized geometry, GGA-PBE.

Properties
The energy above the most stable polymorph in this dataset is 0 meV/atom.

Cell lengths 6.3412, 6.3412, 6.3412 Å; angles 90.00, 90.00, 90.00 degrees
Last column: nearest neighbours and their distance in Å.
Space group F-43m (No. 216)
Asymmetric unit:
K: 0.0000 0.0000 0.0000 [4 per cell]  4 Ni 2.75
Be: 0.0000 0.0000 0.5000 [4 per cell]  4 Ni 2.75
Ni: 0.2500 0.2500 0.7500 [4 per cell]  4 K 2.75, 4 Be 2.75

[3]
KBeNi: optimized geometry, GGA-PBE.

Properties
The energy above the most stable polymorph in this dataset is 665 meV/atom.

Cell lengths 6.6705, 6.6705, 6.6705 Å; angles 90.00, 90.00, 90.00 degrees
Last column: nearest neighbours and their distance in Å.
Space group F-43m (No. 216)
Asymmetric unit:
K: 0.0000 0.0000 0.0000 [4 per cell]  4 Be 2.89, 4 Ni 2.89
Be: 0.2500 0.2500 0.7500 [4 per cell]  4 K 2.89
Ni: 0.2500 0.2500 0.2500 [4 per cell]  4 K 2.89

[4]
KBeNi: optimized geometry, GGA-PBE.

Properties
The energy above the most stable polymorph in this dataset is 42 meV/atom.

Cell lengths 6.3474, 6.3474, 6.3474 Å; angles 90.00, 90.00, 90.00 degrees
Last column: nearest neighbours and their distance in Å.
Space group F-43m (No. 216)
Asymmetric unit:
K: 0.0000 0.0000 0.0000 [4 per cell]  4 Be 2.75
Be: 0.2500 0.2500 0.2500 [4 per cell]  4 K 2.75, 4 Ni 2.75
Ni: 0.0000 0.0000 0.5000 [4 per cell]  4 Be 2.75

[5]
KBeNiS3: optimized geometry, GGA-PBE.

Properties
The value obtained for the total energy is -4.535 eV/atom.

Cell lengths 3.4703, 13.7997, 9.5927 Å; angles 90.00, 90.00, 90.00 degrees
Last column: nearest neighbours and their distance in Å.
Space group Cmcm (No. 63)
Asymmetric unit:
K: 0.0000 0.2417 0.2500 [4 per cell]  8 S 3.14-3.51, 2 K 3.47
Be: 0.0000 0.0318 0.7500 [4 per cell]  4 S 2.09-2.10
Ni: 0.0000 0.5000 0.0000 [4 per cell]  6 S 2.30-2.50
S: 0.0000 0.1027 0.5563 [8 per cell]  1 Be 2.10, 2 Ni 2.30
S: 0.0000 0.4480 0.7500 [4 per cell]  2 Be 2.09

[6]
KBeNiSb: optimized geometry, GGA-PBE.

Properties
The energy above the most stable polymorph in this dataset is 0 meV/atom.

Cell lengths 6.6428, 6.6428, 6.6428 Å; angles 90.00, 90.00, 90.00 degrees
Last column: nearest neighbours and their distance in Å.
Space group F-43m (No. 216)
Asymmetric unit:
K: 0.0000 0.0000 0.0000 [4 per cell]  4 Be 2.88, 4 Ni 2.88
Be: 0.2500 0.2500 0.7500 [4 per cell]  4 K 2.88, 4 Sb 2.88
Ni: 0.2500 0.2500 0.2500 [4 per cell]  4 K 2.88, 4 Sb 2.88
Sb: 0.0000 0.0000 0.5000 [4 per cell]  4 Ni 2.88, 4 Be 2.88

[7]
KBeNiSb: optimized geometry, GGA-PBE.

Properties
The energy above the most stable polymorph in this dataset is 206 meV/atom.

Cell lengths 6.8027, 6.8027, 6.8027 Å; angles 90.00, 90.00, 90.00 degrees
Last column: nearest neighbours and their distance in Å.
Space group F-43m (No. 216)
Asymmetric unit:
K: 0.0000 0.0000 0.0000 [4 per cell]  4 Ni 2.95, 4 Sb 2.95
Be: 0.0000 0.0000 0.5000 [4 per cell]  4 Sb 2.95, 4 Ni 2.95
Ni: 0.2500 0.2500 0.7500 [4 per cell]  4 K 2.95, 4 Be 2.95
Sb: 0.2500 0.2500 0.2500 [4 per cell]  4 K 2.95, 4 Be 2.95

[8]
KBeNiSe3: optimized geometry, GGA-PBE.

Properties
The value obtained for the total energy is -4.105 eV/atom.

Cell lengths 3.6640, 14.3680, 10.0755 Å; angles 90.00, 90.00, 90.00 degrees
Last column: nearest neighbours and their distance in Å.
Space group Cmcm (No. 63)
Asymmetric unit:
K: 0.0000 0.2432 0.2500 [4 per cell]  8 Se 3.28-3.64, 2 K 3.66
Be: 0.0000 0.0336 0.7500 [4 per cell]  4 Se 2.22-2.24
Ni: 0.0000 0.5000 0.0000 [4 per cell]  6 Se 2.44-2.64
Se: 0.0000 0.1059 0.5533 [8 per cell]  1 Be 2.24, 2 Ni 2.44
Se: 0.0000 0.4460 0.7500 [4 per cell]  2 Be 2.22

[9]
KTaBeNi: optimized geometry, GGA-PBE.

Properties
The energy above the most stable polymorph in this dataset is 281 meV/atom.

Cell lengths 6.2945, 6.2945, 6.2945 Å; angles 90.00, 90.00, 90.00 degrees
Last column: nearest neighbours and their distance in Å.
Space group F-43m (No. 216)
Asymmetric unit:
K: 0.0000 0.0000 0.0000 [4 per cell]  4 Ta 2.73, 4 Ni 2.73
Ta: 0.2500 0.2500 0.2500 [4 per cell]  4 K 2.73, 4 Be 2.73
Be: 0.0000 0.0000 0.5000 [4 per cell]  4 Ta 2.73, 4 Ni 2.73
Ni: 0.2500 0.2500 0.7500 [4 per cell]  4 K 2.73, 4 Be 2.73

[10]
KTaBeNi: optimized geometry, GGA-PBE.

Properties
The energy above the most stable polymorph in this dataset is 0 meV/atom.

Cell lengths 6.2563, 6.2563, 6.2563 Å; angles 90.00, 90.00, 90.00 degrees
Last column: nearest neighbours and their distance in Å.
Space group F-43m (No. 216)
Asymmetric unit:
K: 0.0000 0.0000 0.0000 [4 per cell]  4 Ta 2.71, 4 Be 2.71
Ta: 0.2500 0.2500 0.7500 [4 per cell]  4 Ni 2.71, 4 K 2.71
Be: 0.2500 0.2500 0.2500 [4 per cell]  4 K 2.71, 4 Ni 2.71
Ni: 0.0000 0.0000 0.5000 [4 per cell]  4 Be 2.71, 4 Ta 2.71

[11]
KTaBeNi: optimized geometry, GGA-PBE.

Properties
The energy above the most stable polymorph in this dataset is 19 meV/atom.

Cell lengths 6.5102, 6.5102, 6.5102 Å; angles 90.00, 90.00, 90.00 degrees
Last column: nearest neighbours and their distance in Å.
Space group F-43m (No. 216)
Asymmetric unit:
K: 0.0000 0.0000 0.0000 [4 per cell]  4 Be 2.82, 4 Ni 2.82
Ta: 0.0000 0.0000 0.5000 [4 per cell]  4 Ni 2.82, 4 Be 2.82
Be: 0.2500 0.2500 0.7500 [4 per cell]  4 Ta 2.82, 4 K 2.82
Ni: 0.2500 0.2500 0.2500 [4 per cell]  4 Ta 2.82, 4 K 2.82

[12]
KNpBe: optimized geometry, GGA-PBE.

Properties
The energy above the most stable polymorph in this dataset is 0 meV/atom.

Cell lengths 7.1588, 7.1588, 7.1588 Å; angles 90.00, 90.00, 90.00 degrees
Last column: nearest neighbours and their distance in Å.
Space group F-43m (No. 216)
Asymmetric unit:
K: 0.0000 0.0000 0.0000 [4 per cell]  4 Be 3.10
Np: 0.0000 0.0000 0.5000 [4 per cell]  4 Be 3.10
Be: 0.2500 0.2500 0.2500 [4 per cell]  4 K 3.10, 4 Np 3.10

Number 1: M_tot 0.00 μB/f.u.. Number 2: M_tot 0.00 μB/f.u.. Number 3: M_tot 0.34 μB/f.u.. Number 4: M_tot 0.18 μB/f.u.. Number 5: M_tot 0.02 μB/f.u.. Number 6: M_tot 0.00 μB/f.u.. Number 7: M_tot 0.35 μB/f.u.. Number 8: M_tot 0.01 μB/f.u.. Number 9: M_tot 0.00 μB/f.u.. Number 10: M_tot 0.00 μB/f.u.. Number 11: M_tot 0.00 μB/f.u.. Number 12: M_tot 5.91 μB/f.u..